A plane-wave DFT calculation with PBE was carried out for a relaxed structure of ZnGeSb2I.

```
ZnGeSb2I
1.0
5.2060 0.0000 0.0000
0.0000 5.2060 0.0000
0.0000 0.0000 5.5980
I Sb Ge Zn
1 2 1 1
Direct
0.0000 0.0000 0.5000
0.0000 0.5000 0.0000
0.5000 0.0000 0.0000
0.5000 0.5000 0.5000
0.0000 0.0000 0.0000
```

## Properties
- DFT total energy (eV per atom) = -2.5048
- SG = No. 123